No. 1
# Pu8GaRu6 (PBE, relaxed)
data_Pu8GaRu6
_space_group_name_H-M_alt 'P 1'
_space_group_IT_number 1
_space_group_name_Hall 'P 1'
_cell_length_a 5.8516
_cell_length_b 5.8516
_cell_length_c 10.0211
_cell_angle_alpha 73.02
_cell_angle_beta 73.02
_cell_angle_gamma 60.00
loop_
_atom_site_label
_atom_site_fract_x
_atom_site_fract_y
_atom_site_fract_z
Pu1 0.5250 0.1927 0.4255
Pu2 0.8073 0.1432 0.5745
Pu3 0.1432 0.4750 0.5745
Pu4 0.6399 0.6399 0.0804
Pu5 0.3601 0.3601 0.9196
Pu6 0.8568 0.5250 0.4255
Pu7 0.1927 0.8568 0.4255
Pu8 0.4750 0.8073 0.5745
Ga1 0.0000 0.0000 0.0000
Ru1 0.4088 0.9340 0.7953
Ru2 0.0660 0.1382 0.2047
Ru3 0.1382 0.5912 0.2047
Ru4 0.8618 0.4088 0.7953
Ru5 0.9340 0.8618 0.7953
Ru6 0.5912 0.0660 0.2047
# space-group type	No. 148
# energy relative to the elements	0.00	eV per atom

=====

No. 2
# PuGa5Ru4 (PBE, relaxed)
data_PuGa5Ru4
_space_group_name_H-M_alt 'P 1'
_space_group_IT_number 1
_space_group_name_Hall 'P 1'
_cell_length_a 3.0575
_cell_length_b 3.0575
_cell_length_c 16.3768
_cell_angle_alpha 90.00
_cell_angle_beta 90.00
_cell_angle_gamma 90.00
loop_
_atom_site_label
_atom_site_fract_x
_atom_site_fract_y
_atom_site_fract_z
Pu1 0.0000 0.0000 0.0000
Ga1 0.5000 0.5000 0.1371
Ga2 0.5000 0.5000 0.3162
Ga3 0.5000 0.5000 0.5000
Ga4 0.5000 0.5000 0.6838
Ga5 0.5000 0.5000 0.8629
Ru1 0.0000 0.0000 0.2237
Ru2 0.0000 0.0000 0.4087
Ru3 0.0000 0.0000 0.5913
Ru4 0.0000 0.0000 0.7763
# space-group type	No. 123
# energy relative to the elements	-0.31	eV per atom

=====

No. 3
# Pu5GaRu3 (PBE, relaxed)
data_Pu5GaRu3
_space_group_name_H-M_alt 'P 1'
_space_group_IT_number 1
_space_group_name_Hall 'P 1'
_cell_length_a 6.9721
_cell_length_b 6.9721
_cell_length_c 9.3076
_cell_angle_alpha 77.28
_cell_angle_beta 77.28
_cell_angle_gamma 73.80
loop_
_atom_site_label
_atom_site_fract_x
_atom_site_fract_y
_atom_site_fract_z
Pu1 0.9467 0.3899 0.3529
Pu2 0.3042 0.6958 0.0000
Pu3 0.7505 0.7505 0.0673
Pu4 0.5105 0.5105 0.3421
Pu5 0.4895 0.4895 0.6579
Pu6 0.2495 0.2495 0.9327
Pu7 0.3899 0.9467 0.3529
Pu8 0.6958 0.3042 0.0000
Pu9 0.0533 0.6101 0.6471
Pu10 0.6101 0.0533 0.6471
Ga1 0.0680 0.0680 0.7282
Ga2 0.9320 0.9320 0.2718
Ru1 0.6621 0.6621 0.8104
Ru2 0.7367 0.7367 0.4818
Ru3 0.0000 0.0000 0.0000
Ru4 0.0000 0.0000 0.5000
Ru5 0.3379 0.3379 0.1896
Ru6 0.2633 0.2633 0.5182
# space-group type	No. 12
# energy relative to the elements	0.08	eV per atom

=====

No. 4
# Pu3GaRu3 (PBE, relaxed)
data_Pu3GaRu3
_space_group_name_H-M_alt 'P 1'
_space_group_IT_number 1
_space_group_name_Hall 'P 1'
_cell_length_a 4.9495
_cell_length_b 7.8794
_cell_length_c 7.8794
_cell_angle_alpha 120.00
_cell_angle_beta 90.00
_cell_angle_gamma 90.00
loop_
_atom_site_label
_atom_site_fract_x
_atom_site_fract_y
_atom_site_fract_z
Pu1 0.7500 0.6655 0.5640
Pu2 0.7500 0.4360 0.1015
Pu3 0.7500 0.8985 0.3345
Pu4 0.2500 0.3345 0.4360
Pu5 0.2500 0.5640 0.8985
Pu6 0.2500 0.1015 0.6655
Ga1 0.2500 0.6667 0.3333
Ga2 0.7500 0.3333 0.6667
Ru1 0.2500 0.8377 0.7597
Ru2 0.2500 0.2403 0.0780
Ru3 0.2500 0.9220 0.1623
Ru4 0.7500 0.1623 0.2403
Ru5 0.7500 0.7597 0.9220
Ru6 0.7500 0.0780 0.8377
# space-group type	No. 176
# energy relative to the elements	-0.12	eV per atom

=====

Ordered spin magnetization results: 11.233 5.636 4.230 13.043; unit μB per formula unit.
Ordered total energy results: -0.84932 -0.51193 -0.83126 -0.78449; unit Ry per atom.